A crystal of Mn3Mo4 relaxed with PBEsol. Source: Alexandria, functional meta-GGA SCAN.

```
Mn3Mo4
1.0
4.715 0.000 0.000
-2.357 4.083 0.000
0.000 0.000 4.809
Mn Mo
3 4
Cartesian
-1.179 2.042 0.000 Mn
2.357 0.000 0.000 Mn
1.179 2.042 0.000 Mn
0.000 0.000 1.208 Mo
2.357 1.361 2.405 Mo
0.000 2.722 2.405 Mo
0.000 0.000 3.601 Mo
```

## Properties
crystal system	hexagonal

A crystal of La2TlTc relaxed with PBEsol. Source: Alexandria, functional meta-GGA SCAN.

```
La2TlTc
1.0
-1.278 3.063 1.368
-2.554 -1.837 1.729
4.370 -0.717 5.690
La Tc Tl
2 1 1
Cartesian
4.363 -0.716 5.682 La
-0.684 0.411 3.152 La
2.215 -0.364 2.884 Tc
1.199 0.102 5.605 Tl
```

## Properties
crystal system	tetragonal

A crystal of InCuOs2 relaxed with PBEsol. Source: Alexandria, functional meta-GGA SCAN.

```
InCuOs2
1.0
-1.102 0.903 -2.413
1.409 -4.419 -0.669
-4.440 -0.736 1.752
Cu In Os
1 1 2
Cartesian
-2.220 -0.368 0.876 Cu
-0.551 0.451 -1.207 In
-0.791 -2.238 -0.476 Os
-3.343 -2.014 -0.854 Os
```

## Properties
crystal system	monoclinic

A crystal of LaTa relaxed with PBEsol. Source: Alexandria, functional meta-GGA SCAN.

```
LaTa
1.0
-2.020 1.442 -1.833
-2.808 0.715 1.060
0.328 5.691 1.519
Ta La
1 1
Cartesian
-2.250 3.924 0.373 Ta
0.000 0.000 0.000 La
```

## Properties
energy above the most stable polymorph in this dataset	97.9	kJ/mol of formula units
crystal system	trigonal

A crystal of SrCa2Cl relaxed with PBEsol. Source: Alexandria, functional meta-GGA SCAN.

```
SrCa2Cl
1.0
-3.731 -0.877 -0.532
2.610 -2.851 -0.165
-1.127 -1.645 10.613
Cl Ca Sr
1 2 1
Cartesian
-1.124 -2.687 4.958 Cl
-0.338 -0.494 3.186 Ca
-0.789 -1.151 7.428 Ca
-0.560 -1.864 -0.348 Sr
```

## Properties
ΔE_f (raw)	-806	meV per atom
energy above the most stable polymorph in this dataset	12.2	kJ/mol of formula units
crystal system	orthorhombic

A crystal of Li3InC relaxed with PBEsol. Source: Alexandria, functional meta-GGA SCAN.

```
Li3InC
1.0
-3.300 -0.201 -2.469
-1.156 -3.513 1.830
-2.191 2.155 2.753
Li In C
3 1 1
Cartesian
-0.578 -1.756 0.915 Li
-1.650 -0.100 -1.234 Li
-1.095 1.078 1.377 Li
-3.323 -0.779 1.058 In
0.000 0.000 0.000 C
```

## Properties
crystal system	cubic

| no. | calculated volume (Å³/cell) | total energy (eV per atom) | density (kg/m3) |
| --- | --- | --- | --- |
| 1 | 92.59 | -27.66 | 9839 |
| 2 | 92.92 | -48.27 | 10368 |
| 3 | 59.38 | -47.62 | 15628 |
| 4 | 46.37 | -54.02 | 11455 |
| 5 | 142.03 | -13.20 | 2376 |
| 6 | 70.25 | -9.80 | 3490 |